Below is a geometry-optimized Ac4NiHg2 structure, with properties calculated at the PBE-GGA level.

a b c (Å): 5.569 5.569 16.488
angles (deg): 90.00 90.00 90.00
Space group I4/mmm (No. 139)
Asymmetric unit:
Ac  0.000  0.000  0.183
Ac  0.000  0.500  0.000
Ni  0.000  0.000  0.000
Hg  0.000  0.000  0.377

## Properties
Energy of formation = -0.2443 eV/atom
N(E_F) = 8.053 states/eV/f.u.
E = -24.529 eV per formula unit
E above lowest polymorph = 0.554 eV per formula unit

=====

Below is a geometry-optimized Ac4NiHg2 structure, with properties calculated at the PBE-GGA level.

a b c (Å): 14.652 4.232 9.563
angles (deg): 90.00 124.58 90.00
Space group C2/m (No. 12)
Asymmetric unit:
Ac  0.091  0.000  0.376
Ac  0.159  0.500  0.077
Ni  0.000  0.000  0.000
Hg  0.122  0.500  0.680

## Properties
Energy of formation = -0.3234 eV/atom
N(E_F) = 7.266 states/eV/f.u.
E = -25.083 eV per formula unit
E above lowest polymorph = 0.000 eV per formula unit

=====

Below is a geometry-optimized Ac3Ni2Hg2 structure, with properties calculated at the PBE-GGA level.

a b c (Å): 11.921 4.166 8.665
angles (deg): 90.00 112.16 90.00
Space group C2/m (No. 12)
Asymmetric unit:
Ac  0.000  0.000  0.000
Ac  0.187  0.000  0.682
Ni  0.196  0.500  0.939
Hg  0.037  0.500  0.333

## Properties
Energy of formation = -0.3895 eV/atom
N(E_F) = 6.373 states/eV/f.u.
E = -27.218 eV per formula unit

=====

Below is a geometry-optimized Ac3NiHg structure, with properties calculated at the PBE-GGA level.

a b c (Å): 5.658 5.658 5.658
angles (deg): 90.00 90.00 90.00
Space group Pm-3m (No. 221)
Asymmetric unit:
Ac  0.000  0.000  0.500
Ni  0.000  0.000  0.000
Hg  0.500  0.500  0.500

## Properties
Energy of formation = -0.1177 eV/atom
N(E_F) = 7.183 states/eV/f.u.
E = -18.997 eV per formula unit
E above lowest polymorph = 0.861 eV per formula unit

=====

Below is a geometry-optimized Ac6Ni3Hg2 structure, with properties calculated at the PBE-GGA level.

a b c (Å): 7.380 12.778 8.528
angles (deg): 90.00 106.95 90.00
Space group C2/m (No. 12)
Asymmetric unit:
Ac  0.233  0.169  0.203
Ac  0.238  0.500  0.201
Ni  0.000  0.000  0.000
Ni  0.000  0.333  0.000
Hg  0.000  0.166  0.500

## Properties
Energy of formation = -0.2503 eV/atom
N(E_F) = 8.782 states/eV/f.u.
E = -45.352 eV per formula unit

=====

Below is a geometry-optimized Ac2NiHg2 structure, with properties calculated at the PBE-GGA level.

a b c (Å): 4.159 6.450 11.708
angles (deg): 84.89 79.83 71.53
Space group P-1 (No. 2)
Asymmetric unit:
Ac  0.066  0.227  0.141
Ac  0.194  0.730  0.380
Ni  0.285  0.127  0.799
Hg  0.366  0.678  0.092
Hg  0.475  0.175  0.379

## Properties
Energy of formation = -0.3913 eV/atom
N(E_F) = 3.530 states/eV/f.u.
E = -16.558 eV per formula unit

=====

Below is a geometry-optimized Ac3NiHg structure, with properties calculated at the PBE-GGA level.

a b c (Å): 10.720 15.502 4.222
angles (deg): 90.00 90.00 90.00
Space group Cmmm (No. 65)
Asymmetric unit:
Ac  0.000  0.180  0.000
Ac  0.197  0.378  0.500
Ni  0.250  0.250  0.000
Hg  0.000  0.000  0.500
Hg  0.000  0.500  0.000

## Properties
Energy of formation = -0.2461 eV/atom
N(E_F) = 4.185 states/eV/f.u.
E = -19.639 eV per formula unit
E above lowest polymorph = 0.219 eV per formula unit